1.
VASP calculation (PBE-GGA) on a relaxed structure of Ba2SnPb3.

The structure belongs to space group Cm (No. 8); the cell edges are 12.8629, 5.3881 and 8.2105 Å and the angles 90.00°, 128.93° and 90.00°. The distinct sites, in fractional coordinates, are Ba at (0.0000, 0.0000, 0.0000), Ba at (0.1120, 0.0000, 0.6157), Sn at (0.3924, 0.0000, 0.5931), Pb at (0.2109, 0.5000, 0.0112), Pb at (0.2232, 0.5000, 0.4169) and Pb at (0.3957, 0.0000, 0.2125).

For the mass density, the calculation gives 7.6 g/cm³. The size of the total moment is 0.00 μB/f.u.

=====

2.
VASP calculation (PBE-GGA) on a relaxed structure of Ba2SnPb3.

The structure belongs to space group Fmmm (No. 69); the cell edges are 9.8042, 9.8884 and 19.4376 Å and the angles 90.00°, 90.00° and 90.00°. The distinct sites, in fractional coordinates, are Ba at (0.2484, 0.0000, 0.0000), Ba at (0.2500, 0.2500, 0.2500), Sn at (0.0000, 0.0000, 0.3304), Pb at (0.0000, 0.0000, 0.1736) and Pb at (0.0000, 0.2456, 0.4176).

For the mass density, the calculation gives 7.2 g/cm³. The size of the total moment is 0.00 μB/f.u.

=====

Stability check: which of them is most stable? 1.

=====

1.
VASP calculation (PBE-GGA) on a relaxed structure of Ba2SnPb5.

The structure belongs to space group I4mm (No. 107); the cell edges are 7.1605, 7.1605 and 10.8467 Å and the angles 90.00°, 90.00° and 90.00°. The distinct sites, in fractional coordinates, are Ba at (0.0000, 0.5000, 0.0000), Sn at (0.0000, 0.0000, 0.4381), Pb at (0.0000, 0.0000, 0.9430) and Pb at (0.2450, 0.2450, 0.2461).

For the mass density, the calculation gives 8.5 g/cm³. The size of the total moment is 0.00 μB/f.u.

=====

2.
VASP calculation (PBE-GGA) on a relaxed structure of Ba2SnPb5.

The structure belongs to space group I4mm (No. 107); the cell edges are 6.9362, 6.9362 and 13.6668 Å and the angles 90.00°, 90.00° and 90.00°. The distinct sites, in fractional coordinates, are Ba at (0.0000, 0.5000, 0.0000), Sn at (0.0000, 0.0000, 0.1018), Pb at (0.0000, 0.0000, 0.8936) and Pb at (0.2486, 0.2486, 0.2442).

For the mass density, the calculation gives 7.2 g/cm³. The size of the total moment is 0.00 μB/f.u.

=====

Stability check: which of them is most stable? 1.

=====

1.
VASP calculation (PBE-GGA) on a relaxed structure of BaSr2Pb2.

The structure belongs to space group P2_1/m (No. 11); the cell edges are 5.9546, 5.2631 and 13.7334 Å and the angles 90.00°, 96.27° and 90.00°. The distinct sites, in fractional coordinates, are Ba at (0.1903, 0.2500, 0.2444), Sr at (0.2471, 0.7500, 0.4906), Sr at (0.3223, 0.2500, 0.8770), Pb at (0.1589, 0.7500, 0.0140) and Pb at (0.2876, 0.2500, 0.6420).

For the mass density, the calculation gives 5.6 g/cm³. The size of the total moment is 0.00 μB/f.u.

=====

2.
VASP calculation (PBE-GGA) on a relaxed structure of BaSr2Pb2.

The structure belongs to space group I4/mmm (No. 139); the cell edges are 6.1738, 6.1738 and 12.0209 Å and the angles 90.00°, 90.00° and 90.00°. The distinct sites, in fractional coordinates, are Ba at (0.0000, 0.0000, 0.0000), Sr at (0.0000, 0.0000, 0.3405) and Pb at (0.0000, 0.5000, 0.2500).

For the mass density, the calculation gives 5.3 g/cm³. The size of the total moment is 0.00 μB/f.u.

=====

Stability check: which of them is most stable? 1.

=====

1.
VASP calculation (PBE-GGA) on a relaxed structure of BaSr2Pb2.

The structure belongs to space group P4/mbm (No. 127); the cell edges are 9.1450, 9.1450 and 4.9064 Å and the angles 90.00°, 90.00° and 90.00°. The distinct sites, in fractional coordinates, are Ba at (0.0000, 0.0000, 0.0000), Sr at (0.1633, 0.3367, 0.5000) and Pb at (0.1242, 0.6242, 0.0000).

For the mass density, the calculation gives 5.9 g/cm³. The size of the total moment is 0.00 μB/f.u.

=====

2.
VASP calculation (PBE-GGA) on a relaxed structure of BaSr2Pb2.

The structure belongs to space group I4/mmm (No. 139); the cell edges are 5.3881, 5.3881 and 14.6790 Å and the angles 90.00°, 90.00° and 90.00°. The distinct sites, in fractional coordinates, are Ba at (0.0000, 0.0000, 0.0000), Sr at (0.0000, 0.5000, 0.2500) and Pb at (0.0000, 0.0000, 0.3969).

For the mass density, the calculation gives 5.7 g/cm³. The size of the total moment is 0.38 μB/f.u.

=====

Stability check: which of them is most stable? 1.